Record 1
GaAsNO2 (meta-GGA SCAN, PBEsol geometry); formation energy (no corrections) = 0.1073 eV per atom
1.0
-2.170 2.146 2.188
-1.856 -3.054 1.154
2.509 -0.427 2.907
As O Ga N
1 2 1 1
Direct
0.500 0.500 0.500
0.000 0.500 0.000
0.500 0.000 0.000
0.000 0.000 0.000
0.000 0.000 0.500



Record 2
GaAsSe2N (meta-GGA SCAN, PBEsol geometry); formation energy (no corrections) = 1.4282 eV per atom; offset from the most stable computed form = 596 meV per atom
1.0
4.876 0.000 0.000
0.000 4.912 0.000
0.000 0.000 4.912
As Ga Se N
1 1 2 1
Direct
0.500 0.000 0.000
0.000 0.000 0.000
0.000 0.000 0.500
0.000 0.500 0.000
0.500 0.500 0.500



Record 3
GaAsSe2N (meta-GGA SCAN, PBEsol geometry); formation energy (no corrections) = 0.8322 eV per atom; offset from the most stable computed form = 0 meV per atom
1.0
-2.432 3.775 -0.082
-1.614 -1.123 -3.821
-3.232 -2.039 1.964
As Ga Se N
1 1 2 1
Direct
0.500 0.000 0.000
0.500 0.500 0.500
0.000 0.000 0.500
0.000 0.500 0.000
0.000 0.000 0.000



Record 4
NaGaAs3 (meta-GGA SCAN, PBEsol geometry); offset from the most stable computed form = 0 meV per atom; formation enthalpy at 0 K = 39.4 kJ/mol of atoms
1.0
-3.118 -3.377 1.816
2.085 -3.458 -2.850
3.218 -1.032 3.607
Na As Ga
1 3 1
Direct
0.500 0.500 0.500
0.000 0.500 0.000
0.000 0.000 0.500
0.500 0.000 0.000
0.000 0.000 0.000



Record 5
Na2Ga2As3 (meta-GGA SCAN, PBEsol geometry); formation enthalpy at 0 K = -46.5 kJ/mol of atoms
1.0
6.654 0.000 0.000
0.000 13.131 0.031
0.000 -0.043 14.370
Na Ga As
16 16 24
Direct
0.956 0.140 0.011
0.456 0.860 0.489
0.044 0.860 0.989
0.544 0.140 0.511
0.571 0.654 0.977
0.071 0.346 0.523
0.429 0.346 0.023
0.929 0.654 0.477
0.543 0.917 0.890
0.043 0.083 0.610
0.457 0.083 0.110
0.957 0.917 0.390
0.920 0.436 0.092
0.420 0.564 0.408
0.080 0.564 0.908
0.580 0.436 0.592
0.282 0.683 0.160
0.782 0.317 0.340
0.718 0.317 0.840
0.218 0.683 0.660
0.787 0.091 0.271
0.287 0.909 0.229
0.213 0.909 0.729
0.713 0.091 0.771
0.761 0.815 0.169
0.261 0.185 0.331
0.239 0.185 0.831
0.739 0.815 0.669
0.763 0.588 0.241
0.263 0.412 0.259
0.237 0.412 0.759
0.737 0.588 0.741
0.964 0.972 0.167
0.464 0.028 0.333
0.036 0.028 0.833
0.536 0.972 0.667
0.446 0.840 0.084
0.946 0.160 0.416
0.554 0.160 0.916
0.054 0.840 0.584
0.941 0.661 0.101
0.441 0.339 0.399
0.059 0.339 0.899
0.559 0.661 0.601
0.837 0.749 0.827
0.337 0.251 0.673
0.163 0.251 0.173
0.663 0.749 0.327
0.471 0.520 0.155
0.971 0.480 0.345
0.529 0.480 0.845
0.029 0.520 0.655
0.212 0.749 0.822
0.712 0.251 0.678
0.788 0.251 0.178
0.288 0.749 0.322



Record 6
NaGaAs3 (meta-GGA SCAN, PBEsol geometry); offset from the most stable computed form = 675 meV per atom; formation enthalpy at 0 K = 104.6 kJ/mol of atoms
1.0
-1.309 -4.049 2.526
3.881 0.622 3.007
-2.778 2.776 3.011
Na As Ga
1 3 1
Direct
0.000 0.000 0.000
0.000 0.500 0.000
0.000 0.000 0.500
0.500 0.000 0.000
0.500 0.500 0.500



Record 7
Na10NbGaAs6 (meta-GGA SCAN, PBEsol geometry); formation enthalpy at 0 K = -56.3 kJ/mol of atoms
1.0
7.450 0.000 0.000
0.000 8.306 -0.013
0.000 0.215 13.447
Na Nb Ga As
20 2 2 12
Direct
0.265 0.190 0.752
0.735 0.690 0.252
0.229 0.815 0.240
0.771 0.315 0.740
0.739 0.662 0.579
0.261 0.162 0.079
0.785 0.330 0.419
0.215 0.830 0.919
0.912 0.929 0.417
0.088 0.429 0.917
0.598 0.072 0.581
0.402 0.572 0.081
0.406 0.579 0.757
0.594 0.079 0.257
0.092 0.426 0.240
0.908 0.926 0.740
0.232 0.830 0.592
0.768 0.330 0.092
0.262 0.171 0.412
0.738 0.671 0.912
0.386 0.567 0.422
0.614 0.067 0.922
0.113 0.430 0.585
0.887 0.930 0.085
0.019 0.592 0.730
0.981 0.092 0.230
0.482 0.416 0.273
0.518 0.916 0.773
0.052 0.596 0.427
0.948 0.096 0.927
0.461 0.403 0.574
0.539 0.903 0.074
0.998 0.148 0.579
0.002 0.648 0.079
0.511 0.845 0.421
0.489 0.345 0.921



Record 8
NaGa2AsO (meta-GGA SCAN, PBEsol geometry); formation energy (no corrections) = 0.0108 eV per atom
1.0
3.907 0.000 0.000
0.000 5.146 0.000
0.000 0.000 5.146
Na As O Ga
1 1 1 2
Direct
0.500 0.500 0.500
0.000 0.000 0.000
0.500 0.000 0.000
0.000 0.000 0.500
0.000 0.500 0.000



Number 1: total energy -57.75 eV per cell. Number 2: total energy -78.84 eV per cell. Number 3: total energy -81.82 eV per cell. Number 4: total energy -79.09 eV per cell. Number 5: total energy -840.56 eV per cell. Number 6: total energy -75.71 eV per cell. Number 7: total energy -446.56 eV per cell. Number 8: total energy -63.28 eV per cell.